! NbAgC | Alexandria | GGA-PBE | relaxed; values from VASP
&SYSTEM
  ibrav = 0, nat = 12, ntyp = 3
/
ATOMIC_SPECIES
Nb 92.91 Nb.upf
Ag 107.87 Ag.upf
C 12.01 C.upf
CELL_PARAMETERS angstrom
3.109 0.000 0.000
0.000 3.133 0.000
0.000 0.000 18.531
ATOMIC_POSITIONS crystal
Nb 0.250 0.750 0.808
Nb 0.250 0.750 0.308
Nb 0.750 0.250 0.192
Nb 0.750 0.250 0.692
Ag 0.250 0.250 0.550
Ag 0.250 0.250 0.050
Ag 0.750 0.750 0.450
Ag 0.750 0.750 0.950
C 0.250 0.750 0.689
C 0.250 0.750 0.189
C 0.750 0.250 0.311
C 0.750 0.250 0.811
! Symmetry: Pmmn

! Nb2AgC | Alexandria | GGA-PBE | relaxed; values from VASP
&SYSTEM
  ibrav = 0, nat = 4, ntyp = 3
/
ATOMIC_SPECIES
Nb 92.91 Nb.upf
C 12.01 C.upf
Ag 107.87 Ag.upf
CELL_PARAMETERS angstrom
3.159 0.000 0.000
1.579 2.736 0.000
1.579 0.912 7.191
ATOMIC_POSITIONS crystal
Nb 0.722 0.722 0.834
Nb 0.278 0.278 0.166
C 0.000 0.000 0.000
Ag 0.500 0.500 0.500
! Symmetry: R-3m

! NbAgC2 | Alexandria | GGA-PBE | relaxed; values from VASP
&SYSTEM
  ibrav = 0, nat = 4, ntyp = 3
/
ATOMIC_SPECIES
Nb 92.91 Nb.upf
C 12.01 C.upf
Ag 107.87 Ag.upf
CELL_PARAMETERS angstrom
2.376 -2.172 2.388
-1.464 -3.212 1.899
1.138 -3.678 -1.114
ATOMIC_POSITIONS crystal
Nb 0.000 0.000 0.000
C 0.250 0.250 0.250
C 0.750 0.750 0.750
Ag 0.500 0.500 0.500
! Symmetry: Fm-3m
! Excess energy over the best structure of this formula in the dataset, eV/atom: 0.418

Respective uncorrected energy values: -7.415, -8.273, -6.375 eV per atom.
Respective spin magnetization values: 0.0, 0.0, 0.0 μB/f.u..
Respective DFT formation energy values: -0.033, -0.219, 1.467 eV per atom.